Entry a
Here is a relaxed TaC2 crystal from the Alexandria database. Energies are from PBE-GGA.

Geometry as POSCAR:
```
TaC2
1.0
0.963 1.009 -2.936
-2.362 1.588 1.570
8.618 7.481 5.398
Ta C
3 6
Direct
0.000 0.000 0.500
0.333 0.667 0.864
0.667 0.333 0.136
0.000 0.000 0.941
0.000 0.000 0.059
0.333 0.667 0.704
0.667 0.333 0.296
0.333 0.667 0.600
0.667 0.333 0.400
```

Summary:
DOS(E_F)   1.253 states/eV/f.u.

=====

Entry b
Here is a relaxed TaC2 crystal from the Alexandria database. Energies are from PBE-GGA.

Geometry as POSCAR:
```
TaC2
1.0
1.518 -6.340 0.000
1.518 6.340 0.000
0.000 0.000 2.885
Ta C
2 4
Direct
0.118 0.882 0.750
0.882 0.118 0.250
0.750 0.250 0.750
0.460 0.540 0.750
0.250 0.750 0.250
0.540 0.460 0.250
```

Summary:
DOS(E_F)   1.070 states/eV/f.u.

=====

Entry c
Here is a relaxed TaC2 crystal from the Alexandria database. Energies are from PBE-GGA.

Geometry as POSCAR:
```
TaC2
1.0
5.125 0.000 0.000
0.000 5.125 0.000
0.000 0.000 5.125
C Ta
8 4
Direct
0.580 0.580 0.420
0.420 0.420 0.580
0.080 0.920 0.580
0.920 0.080 0.420
0.420 0.080 0.080
0.580 0.920 0.920
0.920 0.420 0.920
0.080 0.580 0.080
0.000 0.000 0.000
0.500 0.500 0.000
0.500 0.000 0.500
0.000 0.500 0.500
```

Summary:
DOS(E_F)   1.269 states/eV/f.u.

=====

Entry d
Here is a relaxed TaC2 crystal from the Alexandria database. Energies are from PBE-GGA.

Geometry as POSCAR:
```
TaC2
1.0
3.732 -1.406 -1.335
4.077 0.245 1.004
1.471 -4.684 3.091
Ta C
2 4
Direct
0.972 0.972 0.386
0.796 0.796 0.011
0.082 0.082 0.967
0.563 0.563 0.836
0.284 0.284 0.296
0.471 0.471 0.672
```

Summary:
DOS(E_F)   0.831 states/eV/f.u.

=====

Stability ranking, top and bottom: entry d is the most stable and entry c is the least stable.

=====

Entry a
Here is a relaxed TaC2 crystal from the Alexandria database. Energies are from PBE-GGA.

Geometry as POSCAR:
```
TaC2
1.0
3.228 0.000 0.000
-1.614 2.796 0.000
0.000 0.000 3.057
C Ta
2 1
Direct
0.333 0.667 0.500
0.667 0.333 0.500
0.000 0.000 0.000
```

Summary:
DOS(E_F)   1.397 states/eV/f.u.

=====

Entry b
Here is a relaxed TaC2 crystal from the Alexandria database. Energies are from PBE-GGA.

Geometry as POSCAR:
```
TaC2
1.0
-2.070 -2.236 -0.854
2.869 -0.819 1.053
-1.383 -0.122 3.672
C Ta
2 1
Direct
0.000 0.000 0.829
0.000 0.000 0.171
0.333 0.667 0.500
```

Summary:
DOS(E_F)   1.210 states/eV/f.u.

=====

Stability ranking, top and bottom: entry b is the most stable and entry a is the least stable.

=====

Entry a
Here is a relaxed TaC2 crystal from the Alexandria database. Energies are from PBE-GGA.

Geometry as POSCAR:
```
TaC2
1.0
-0.282 3.637 -0.131
-2.982 1.648 1.311
0.200 1.958 3.075
C Ta
2 1
Direct
0.750 0.750 0.750
0.250 0.250 0.250
0.000 0.000 0.000
```

Summary:
DOS(E_F)   2.800 states/eV/f.u.

=====

Entry b
Here is a relaxed TaC2 crystal from the Alexandria database. Energies are from PBE-GGA.

Geometry as POSCAR:
```
TaC2
1.0
5.300 3.068 1.884
-6.111 -0.233 -1.911
-0.896 -0.229 2.894
Ta C
2 4
Direct
0.633 0.367 0.000
0.367 0.633 0.000
0.000 0.000 0.000
0.500 0.500 0.500
0.790 0.210 0.500
0.210 0.790 0.500
```

Summary:
DOS(E_F)   0.546 states/eV/f.u.

=====

Entry c
Here is a relaxed TaC2 crystal from the Alexandria database. Energies are from PBE-GGA.

Geometry as POSCAR:
```
TaC2
1.0
3.213 0.000 0.000
0.000 3.213 0.000
0.000 0.000 3.117
C Ta
2 1
Direct
0.000 0.500 0.500
0.500 0.000 0.500
0.000 0.000 0.000
```

Summary:
DOS(E_F)   1.373 states/eV/f.u.

=====

Entry d
Here is a relaxed TaC2 crystal from the Alexandria database. Energies are from PBE-GGA.

Geometry as POSCAR:
```
TaC2
1.0
-3.690 -2.364 0.141
-1.714 -1.161 3.866
-3.731 1.841 1.386
Ta C
2 4
Direct
0.500 0.500 0.500
0.750 0.750 0.750
0.625 0.125 0.125
0.125 0.625 0.125
0.125 0.125 0.625
0.125 0.125 0.125
```

Summary:
DOS(E_F)   1.395 states/eV/f.u.

=====

Stability ranking, top and bottom: entry b is the most stable and entry d is the least stable.